This record from Alexandria via LeMat-Bulk describes a relaxed Ca5Ni crystal. The functional is PBEsol.

The space group is P-62m (No. 189) and the conventional cell measures 6.4129, 6.4129 and 5.3339 Å, with angles of 90.00, 90.00 and 120.00 degrees. The distinct sites, in fractional coordinates, are Ca at (0.0000, 0.7036, 0.0000), Ca at (0.3333, 0.6667, 0.5000) and Ni at (0.0000, 0.0000, 0.5000).

The value obtained for the energy of formation from the pure elements is 1.5 eV/f.u. Its crystal system is hexagonal. The calculation puts the density of states at the Fermi level at 0.975 states/eV/atom.

This record from Alexandria via LeMat-Bulk describes a relaxed CaNi2 crystal. The functional is PBEsol.

The space group is I4/mmm (No. 139) and the conventional cell measures 3.171, 3.171 and 9.590 Å, with angles of 90.00, 90.00 and 90.00 degrees. The distinct sites, in fractional coordinates, are Ca at (0.000, 0.000, 0.000) and Ni at (0.000, 0.000, 0.286).

The value obtained for the energy of formation from the pure elements is 0.4 eV/f.u. Its crystal system is tetragonal. The calculation puts the density of states at the Fermi level at 0.838 states/eV/atom.

This record from Alexandria via LeMat-Bulk describes a relaxed CaNi2 crystal. The functional is PBEsol.

The space group is Fd-3m (No. 227, origin choice 2) and the conventional cell measures 7.060, 7.060 and 7.060 Å, with angles of 90.00, 90.00 and 90.00 degrees. The distinct sites, in fractional coordinates, are Ca at (0.125, 0.125, 0.125) and Ni at (0.000, 0.000, 0.500).

The value obtained for the energy of formation from the pure elements is -0.5 eV/f.u. Its crystal system is cubic. The calculation puts the density of states at the Fermi level at 0.893 states/eV/atom.

This record from Alexandria via LeMat-Bulk describes a relaxed CaNi5 crystal. The functional is PBEsol.

The space group is P6/mmm (No. 191) and the conventional cell measures 4.8409, 4.8409 and 3.8708 Å, with angles of 90.00, 90.00 and 120.00 degrees. The distinct sites, in fractional coordinates, are Ca at (0.0000, 0.0000, 0.0000), Ni at (0.0000, 0.5000, 0.5000) and Ni at (0.3333, 0.6667, 0.0000).

The value obtained for the energy of formation from the pure elements is -0.5 eV/f.u. Its crystal system is hexagonal. The calculation puts the density of states at the Fermi level at 1.514 states/eV/atom.

This record from Alexandria via LeMat-Bulk describes a relaxed CaNi4O8 crystal. The functional is PBEsol.

The space group is R-3m (No. 166, hexagonal axes) and the conventional cell measures 5.6495, 5.6495 and 16.4049 Å, with angles of 90.00, 90.00 and 120.00 degrees. The distinct sites, in fractional coordinates, are Ca at (0.0000, 0.0000, 0.0000), Ni at (0.0000, 0.0000, 0.5000), Ni at (0.0000, 0.5000, 0.5000), O at (0.0000, 0.0000, 0.2247) and O at (0.0126, 0.5063, 0.7738).

Its crystal system is trigonal. The calculation puts the density of states at the Fermi level at 0.582 states/eV/atom. Its uncorrected formation energy is -26.50 kcal/mol of atoms.

This record from Alexandria via LeMat-Bulk describes a relaxed CaNiP4O12 crystal. The functional is PBEsol.

The space group is C2/c (No. 15) and the conventional cell measures 12.125, 8.694 and 9.728 Å, with angles of 90.00, 118.09 and 90.00 degrees. The distinct sites, in fractional coordinates, are Ca at (0.000, 0.054, 0.250), Ni at (0.250, 0.250, 0.500), P at (0.001, 0.280, 0.970), P at (0.193, 0.497, 0.199), O at (0.037, 0.137, 0.919), O at (0.060, 0.268, 0.426), O at (0.086, 0.383, 0.681), O at (0.124, 0.385, 0.052), O at (0.211, 0.085, 0.329) and O at (0.239, 0.415, 0.349).

Its crystal system is monoclinic. Its uncorrected formation energy is -50.18 kcal/mol of atoms.

This record from Alexandria via LeMat-Bulk describes a relaxed CaNiSnP2O9 crystal. The functional is PBEsol.

The space group is Pnma (No. 62) and the conventional cell measures 14.141, 6.540 and 7.542 Å, with angles of 90.00, 90.00 and 90.00 degrees. The distinct sites, in fractional coordinates, are Ca at (0.206, 0.250, 0.089), Ni at (0.000, 0.000, 0.000), Sn at (0.120, 0.250, 0.653), P at (0.069, 0.750, 0.648), P at (0.185, 0.750, 0.123), O at (0.003, 0.250, 0.503), O at (0.020, 0.750, 0.829), O at (0.064, 0.250, 0.889), O at (0.126, 0.554, 0.115), O at (0.138, 0.566, 0.628), O at (0.235, 0.250, 0.474) and O at (0.247, 0.750, 0.294).

Its crystal system is orthorhombic. Its uncorrected formation energy is -48.01 kcal/mol of atoms.

This record from Alexandria via LeMat-Bulk describes a relaxed Ca2NiSbO6 crystal. The functional is PBEsol.

The space group is P2_1/m (No. 11) and the conventional cell measures 5.351, 7.663 and 5.519 Å, with angles of 90.00, 90.44 and 90.00 degrees. The distinct sites, in fractional coordinates, are Ca at (0.014, 0.250, 0.044), Ca at (0.485, 0.250, 0.572), Ni at (0.500, 0.000, 0.000), Sb at (0.000, 0.000, 0.500), O at (0.099, 0.750, 0.530), O at (0.201, 0.048, 0.796), O at (0.298, 0.046, 0.299) and O at (0.414, 0.750, 0.022).

Its crystal system is monoclinic. The calculation puts the density of states at the Fermi level at 0.300 states/eV/atom. Its uncorrected formation energy is -44.94 kcal/mol of atoms.